A plane-wave DFT calculation with SCAN was carried out for KTcOs3 at its PBEsol-relaxed geometry.

Cell: 4.402 4.402 4.402 Å, 90.00 90.00 90.00°
Last column: magnetic moment on the atom in μB.
Positions (direct):
K  0.000  0.000  0.000  0.00
Os  0.000  0.500  0.000  -0.07
Os  0.000  0.000  0.500  -0.07
Os  0.500  0.000  0.000  -0.07
Tc  0.500  0.500  0.500  2.77

Properties
Its energy is -47.68 eV per atom.

A plane-wave DFT calculation with SCAN was carried out for KTc2Os at its PBEsol-relaxed geometry.

Cell: 4.438 4.438 4.438 Å, 60.00 60.00 60.00°
Positions (direct):
K  0.500  0.500  0.500
Os  0.000  0.000  0.000
Tc  0.750  0.750  0.750
Tc  0.250  0.250  0.250

Properties
Its energy is -36.21 eV per atom.

A plane-wave DFT calculation with SCAN was carried out for K2TcOs at its PBEsol-relaxed geometry.

Cell: 5.167 5.167 5.167 Å, 60.00 60.00 60.00°
Last column: magnetic moment on the atom in μB.
Positions (direct):
K  0.750  0.750  0.750  0.03
K  0.250  0.250  0.250  0.03
Os  0.000  0.000  0.000  1.83
Tc  0.500  0.500  0.500  3.33

Properties
For the energy above the most stable polymorph in this dataset, the calculation gives 25.76 kcal/mol of atoms. Its energy is -28.48 eV per atom.